Y2ZnGeW after structural relaxation. Source: Alexandria, functional PBE-GGA.

The structure in extended XYZ format:
```
5
Lattice="5.369 0.000 0.000 0.000 4.701 0.000 0.000 0.000 5.369" Properties=species:S:1:pos:R:3 pbc="T T T"
Y 0.000 0.000 2.685
Y 2.685 0.000 0.000
Ge 0.000 0.000 0.000
Zn 2.685 2.351 2.685
W 0.000 2.351 0.000
```

Computed properties:
SG	No. 123
energy of formation from the pure elements	0.5080	eV/atom
energy	-5.85	eV per atom